Entry from the Alexandria database: SeBrCl after structural relaxation (PBE).

abc: 5.4608 6.8351 7.5674
angles: 63.50 82.96 75.60
Last column: nearest neighbours and their distance in Å.
Space group P1 (No. 1)
Inequivalent atoms, fractional coordinates:
Se 0.0000 0.0000 0.0000  1 Se 2.38, 1 Br 2.43
Se 0.1881 0.3102 0.9144  2 Cl 2.24-2.29, 1 Se 2.38
Br 0.3971 0.0476 0.7337  2 Se 2.68-2.75
Br 0.6537 0.0398 0.2245  1 Se 2.43
Cl 0.9758 0.5866 0.6498  1 Se 2.24
Cl 0.9981 0.4509 0.1327  1 Se 2.29

The crystal system is triclinic. The calculation puts the excess energy over the best structure of this formula in the dataset at 0.0000 eV/atom. For the energy relative to the elements, uncorrected, the calculation gives -177.9 meV per atom.